Computed, not measured: an optimized crystal structure of SrYN2O at the PBE-GGA level of DFT.

Cell lengths 4.301, 4.301, 4.410 Å; angles 90.00, 90.00, 90.00 degrees
Sites, in units of the cell vectors:
Sr (0.000, 0.000, 0.000)
Y (0.500, 0.500, 0.500)
N (0.000, 0.500, 0.000)
N (0.500, 0.000, 0.000)
O (0.000, 0.000, 0.500)

## Properties
Its density of states at the Fermi level is 0.5987 states/eV per atom. The crystal system is tetragonal. The uncorrected formation energy comes out at 0.27 eV/atom. The value obtained for the total magnetic moment is 0.0 μB/cell.